Compound: K5USe4
Source: Alexandria via LeMat-Bulk
Functional: GGA-PBE
Structure: optimized geometry

```
K5USe4
1.0
9.784 -2.240 0.000
9.784 2.240 0.000
-1.520 0.000 8.872
K U Se
5 1 4
Direct
0.000 0.000 0.000 K
0.322 0.322 0.653 K
0.342 0.342 0.177 K
0.658 0.658 0.823 K
0.678 0.678 0.347 K
0.000 0.000 0.500 U
0.145 0.145 0.574 Se
0.492 0.492 0.714 Se
0.508 0.508 0.286 Se
0.855 0.855 0.426 Se
```

Results
The total energy comes out at -4.114 eV per atom. The value obtained for the density of states at the Fermi level is 0.51 states/eV per atom. As for the uncorrected formation energy: -1042 meV per atom.